(1)
Lu2Ta4Au3C3: optimized geometry, PBE.

Output
crystal system: monoclinic
calculated volume: 16.066 Å³ per atom
total DFT energy (no corrections): -100.8 eV/f.u.

Structure (POSCAR):
```
Lu2Ta4Au3C3
1.0
-5.124 0.716 -2.247
-3.489 -4.399 -0.536
-2.267 3.855 13.686
Au C Lu Ta
6 6 4 8
Cartesian
-2.702 -0.759 2.853 Au
-4.118 -3.242 2.821 Au
-6.597 -2.397 1.676 Au
-4.284 2.569 9.228 Au
-6.762 3.413 8.082 Au
-8.178 0.931 8.050 Au
-2.562 0.358 -1.124 C
-5.456 -0.850 -2.065 C
-3.157 -2.833 -0.718 C
-5.756 -1.533 5.651 C
-2.878 -0.272 6.575 C
-5.124 1.704 5.252 C
-4.345 -0.844 0.139 Lu
-5.664 -0.092 3.647 Lu
-5.217 0.263 7.256 Lu
-6.535 1.016 10.764 Lu
-1.277 0.383 0.605 Ta
-6.950 -2.137 -1.208 Ta
-3.054 1.185 4.999 Ta
-8.779 -1.169 3.131 Ta
-2.101 1.341 7.772 Ta
-7.827 -1.013 5.904 Ta
-3.931 2.308 12.111 Ta
-9.603 -0.211 10.299 Ta
```


(2)
Ba2AgBi: optimized geometry, PBE.

Output
crystal system: cubic
calculated volume: 34.488 Å³ per atom
total DFT energy (no corrections): -11.6 eV/f.u.

Structure (POSCAR):
```
Ba2AgBi
1.0
0.000 4.101 4.101
4.101 0.000 4.101
4.101 4.101 0.000
Ag Ba Bi
1 2 1
Cartesian
6.152 6.152 6.152 Ag
2.051 2.051 2.051 Ba
4.101 4.101 4.101 Ba
0.000 0.000 0.000 Bi
```


(3)
Al2Ga2Mo: optimized geometry, PBE.

Output
crystal system: tetragonal
calculated volume: 16.023 Å³ per atom
total DFT energy (no corrections): -22.7 eV/f.u.

Structure (POSCAR):
```
Al2Ga2Mo
1.0
3.177 -0.056 5.932
-1.855 -0.377 6.458
-0.511 -2.312 -6.299
Al Ga Mo
2 2 1
Cartesian
0.535 -0.175 5.011 Al
0.787 -0.258 7.378 Al
1.664 -1.292 2.914 Ga
-0.852 -1.453 3.176 Ga
0.000 0.000 0.000 Mo
```


(4)
RbTcAuO3: optimized geometry, PBE.

Output
crystal system: orthorhombic
calculated volume: 16.984 Å³ per atom
total DFT energy (no corrections): -35.9 eV/f.u.

Structure (POSCAR):
```
RbTcAuO3
1.0
10.694 0.000 0.000
0.000 3.094 0.000
0.000 0.000 12.319
Au O Rb Tc
4 12 4 4
Cartesian
4.298 0.000 0.356 Au
9.645 1.547 5.803 Au
1.049 0.000 6.516 Au
6.397 1.547 11.963 Au
2.099 0.000 0.547 O
10.549 1.547 1.001 O
8.497 0.000 2.093 O
3.150 1.547 4.066 O
5.201 0.000 5.158 O
7.446 1.547 5.613 O
3.248 0.000 6.706 O
5.493 1.547 7.161 O
7.544 0.000 8.253 O
2.197 1.547 10.226 O
0.146 0.000 11.318 O
8.595 1.547 11.773 O
6.319 1.547 3.027 Rb
0.972 0.000 3.133 Rb
9.723 1.547 9.186 Rb
4.375 0.000 9.292 Rb
9.311 0.000 0.554 Tc
3.964 1.547 5.606 Tc
6.731 0.000 6.713 Tc
1.383 1.547 11.765 Tc
```


(5)
LaCdInTe3: optimized geometry, PBE.

Output
crystal system: orthorhombic
calculated volume: 35.239 Å³ per atom
total DFT energy (no corrections): -23.0 eV/f.u.

Structure (POSCAR):
```
LaCdInTe3
1.0
-6.304 3.324 -3.585
-7.459 2.710 0.811
4.274 10.968 2.654
Cd In La Te
2 2 2 6
Cartesian
-5.370 5.565 -0.634 Cd
-4.119 11.437 0.514 Cd
-9.384 7.325 -1.443 In
-0.105 9.677 1.323 In
0.000 0.000 0.000 La
2.137 5.484 1.327 La
-4.666 2.828 -0.831 Te
-0.104 3.256 0.427 Te
-3.050 6.976 0.172 Te
-6.439 10.026 -0.292 Te
-9.386 13.746 -0.547 Te
-4.823 14.174 0.711 Te
```


(6)
TaAlCuAg: optimized geometry, PBE.

Output
crystal system: cubic
calculated volume: 15.807 Å³ per atom
total DFT energy (no corrections): -21.2 eV/f.u.

Structure (POSCAR):
```
TaAlCuAg
1.0
0.483 -3.233 -3.051
-2.187 -3.871 0.479
-3.384 -1.010 -2.742
Ag Al Cu Ta
1 1 1 1
Cartesian
-1.272 -2.029 -1.329 Ag
0.000 0.000 0.000 Al
-3.816 -6.086 -3.986 Cu
-2.544 -4.057 -2.657 Ta
```